# 1
Material: VHgF3
Method: DFT, PBE with a Hubbard U
State: optimized geometry

Lattice parameters (Å, degrees): 4.190 4.190 4.190 90.00 90.00 90.00
Space group Pm-3m (No. 221)
Inequivalent atoms, fractional coordinates:
V 0.000 0.000 0.000
Hg 0.500 0.500 0.500
F 0.000 0.000 0.500

Values from the calculation:
Its density of states at the Fermi level is 5.744 states/eV per cell. The total energy is -4.626 eV/atom.


# 2
Material: V2HgF2
Method: DFT, PBE with a Hubbard U
State: optimized geometry

Lattice parameters (Å, degrees): 7.729 7.729 3.087 90.00 90.00 90.00
Space group P4/mbm (No. 127)
Inequivalent atoms, fractional coordinates:
V 0.118 0.382 0.000
Hg 0.000 0.000 0.000
F 0.113 0.613 0.500

Values from the calculation:
Its density of states at the Fermi level is 2.650 states/eV per cell. The total energy is -4.307 eV/atom.


# 3
Material: V2HgF
Method: DFT, PBE with a Hubbard U
State: optimized geometry

Lattice parameters (Å, degrees): 5.449 5.449 12.144 90.00 90.00 90.00
Space group I-42d (No. 122)
Inequivalent atoms, fractional coordinates:
V 0.100 0.250 0.125
Hg 0.000 0.000 0.500
F 0.000 0.000 0.000

Values from the calculation:
Its density of states at the Fermi level is 9.731 states/eV per cell. The total energy is -4.150 eV/atom.


# 4
Material: V2HgF2
Method: DFT, PBE with a Hubbard U
State: optimized geometry

Lattice parameters (Å, degrees): 3.642 3.642 11.567 90.00 90.00 90.00
Space group I4/mmm (No. 139)
Inequivalent atoms, fractional coordinates:
V 0.000 0.000 0.130
Hg 0.000 0.000 0.500
F 0.000 0.500 0.250

Values from the calculation:
Its density of states at the Fermi level is 1.990 states/eV per cell. The total energy is -4.776 eV/atom.